First-principles (GGA-PBE) data for an optimized crystal structure of LaNd2ScTe4, as listed in the Alexandria database.

The space group is P2/m (No. 10) and the conventional cell measures 7.7136, 4.4001 and 7.7491 Å, with angles of 90.00, 108.91 and 90.00 degrees. The asymmetric unit holds La at (0.0000, 0.0000, 0.0000), Nd at (0.0000, 0.5000, 0.5000), Nd at (0.5000, 0.0000, 0.5000), Sc at (0.5000, 0.5000, 0.0000), Te at (0.2621, 0.5000, 0.2443) and Te at (0.2692, 0.0000, 0.7663).

The size of the total moment comes out at 0.0 μB per formula unit. The volume comes out at 248.8 Å³/cell. The total DFT energy (no corrections) is -44.2 eV for the cell shown.

***

First-principles (GGA-PBE) data for an optimized crystal structure of YCd2Pt, as listed in the Alexandria database.

The space group is C2/m (No. 12) and the conventional cell measures 10.2699, 3.8076 and 4.6935 Å, with angles of 90.00, 109.29 and 90.00 degrees. The asymmetric unit holds Y at (0.0000, 0.0000, 0.0000), Cd at (0.2324, 0.0000, 0.7229) and Pt at (0.0000, 0.5000, 0.5000).

The size of the total moment comes out at 0.0 μB per formula unit. The volume comes out at 173.2 Å³/cell. The formation energy is -0.494 eV per atom.

***

First-principles (GGA-PBE) data for an optimized crystal structure of LiTe2Pt, as listed in the Alexandria database.

The space group is R3m (No. 160, hexagonal axes) and the conventional cell measures 4.0567, 4.0567 and 20.6398 Å, with angles of 90.00, 90.00 and 120.00 degrees. The asymmetric unit holds Li at (0.0000, 0.0000, 0.0000), Te at (0.0000, 0.0000, 0.2490), Te at (0.0000, 0.0000, 0.4427) and Pt at (0.0000, 0.0000, 0.8464).

The size of the total moment comes out at 0.0 μB per formula unit. The volume comes out at 294.2 Å³/cell. The total DFT energy (no corrections) is -48.1 eV for the cell shown.

***

First-principles (GGA-PBE) data for an optimized crystal structure of SrAcTb4Se8, as listed in the Alexandria database.

The space group is R3m (No. 160, hexagonal axes) and the conventional cell measures 8.5741, 8.5741 and 21.7439 Å, with angles of 90.00, 90.00 and 120.00 degrees. The asymmetric unit holds Sr at (0.0000, 0.0000, 0.0000), Ac at (0.0000, 0.0000, 0.6297), Tb at (0.0000, 0.0000, 0.2551), Tb at (0.1687, 0.3375, 0.4612), Se at (0.0000, 0.0000, 0.3865), Se at (0.0000, 0.0000, 0.8643), Se at (0.0243, 0.5122, 0.3889) and Se at (0.1709, 0.3418, 0.2042).

The size of the total moment comes out at 0.0 μB per formula unit. The volume comes out at 1384.4 Å³/cell. The total DFT energy (no corrections) is -232.4 eV for the cell shown.